# 1
The following is a PBE-GGA calculation of Pr2ThScAs4 after structural relaxation, from the Alexandria database.

Values from the calculation:
Uncorrected energy in eV per atom: -6.6667
E_form in eV per formula unit: -11.43

abc: 4.2112 7.2379 7.3024
angles: 109.44 90.00 90.00
Closest atoms and distances in Å follow each position.
Positions (direct):
Pr 0.5000 0.0000 0.5000  6 As 2.99
Pr 0.0000 0.5000 0.5000  6 As 3.07-3.08
Th 0.5000 0.5000 0.0000  6 As 2.95-2.96
Sc 0.0000 0.0000 0.0000  6 As 2.86-2.87
As 0.5000 0.2346 0.2311  2 Sc 2.87, 1 Th 2.95, 3 Pr 2.99-3.08
As 0.5000 0.7654 0.7689  2 Sc 2.87, 1 Th 2.95, 3 Pr 2.99-3.08
As 0.0000 0.2441 0.7615  1 Sc 2.86, 2 Th 2.96, 3 Pr 2.99-3.07
As 0.0000 0.7559 0.2385  1 Sc 2.86, 2 Th 2.96, 3 Pr 2.99-3.07


# 2
The following is a PBE-GGA calculation of PrTm2ScAs4 after structural relaxation, from the Alexandria database.

Values from the calculation:
Uncorrected energy in eV per atom: -6.2597
E_form in eV per formula unit: -11.43

abc: 4.0942 7.0728 7.0845
angles: 109.46 90.00 90.00
Closest atoms and distances in Å follow each position.
Positions (direct):
Pr 0.5000 0.5000 0.0000  6 As 2.95
Tm 0.5000 0.0000 0.5000  6 As 2.83
Tm 0.0000 0.5000 0.5000  6 As 2.93
Sc 0.0000 0.0000 0.0000  6 As 2.85
As 0.5000 0.2380 0.2481  3 Tm 2.83-2.93, 2 Sc 2.85, 1 Pr 2.95
As 0.5000 0.7620 0.7519  3 Tm 2.83-2.93, 2 Sc 2.85, 1 Pr 2.95
As 0.0000 0.2362 0.7432  3 Tm 2.83-2.93, 1 Sc 2.85, 2 Pr 2.95
As 0.0000 0.7638 0.2568  3 Tm 2.83-2.93, 1 Sc 2.85, 2 Pr 2.95


# 3
The following is a PBE-GGA calculation of Pr2TmScAs4 after structural relaxation, from the Alexandria database.

Values from the calculation:
Uncorrected energy in eV per atom: -6.3090
E_form in eV per formula unit: -11.51

abc: 4.1542 7.1607 7.1875
angles: 70.45 90.00 90.00
Closest atoms and distances in Å follow each position.
Positions (direct):
Pr 0.0000 0.0000 0.0000  6 As 2.99
Pr 0.5000 0.0000 0.5000  6 As 3.03
Tm 0.0000 0.5000 0.5000  6 As 2.87-2.88
Sc 0.5000 0.5000 0.0000  6 As 2.83
As 0.0000 0.7276 0.7622  2 Sc 2.83, 1 Tm 2.88, 3 Pr 2.99-3.03
As 0.0000 0.2724 0.2378  2 Sc 2.83, 1 Tm 2.88, 3 Pr 2.99-3.03
As 0.5000 0.7311 0.2515  1 Sc 2.83, 2 Tm 2.87, 3 Pr 2.99-3.03
As 0.5000 0.2689 0.7485  1 Sc 2.83, 2 Tm 2.87, 3 Pr 2.99-3.03


# 4
The following is a PBE-GGA calculation of Pr2YScAs4 after structural relaxation, from the Alexandria database.

Values from the calculation:
Uncorrected energy in eV per atom: -6.5696
E_form in eV per formula unit: -11.60

abc: 4.1696 7.1915 7.2125
angles: 70.46 90.00 90.00
Closest atoms and distances in Å follow each position.
Positions (direct):
Pr 0.0000 0.0000 0.0000  6 As 2.99
Pr 0.5000 0.0000 0.5000  6 As 3.04-3.05
Y 0.0000 0.5000 0.5000  6 As 2.90
Sc 0.5000 0.5000 0.0000  6 As 2.84
As 0.0000 0.7292 0.7635  2 Sc 2.84, 1 Y 2.90, 3 Pr 2.99-3.05
As 0.0000 0.2708 0.2365  2 Sc 2.84, 1 Y 2.90, 3 Pr 2.99-3.05
As 0.5000 0.7340 0.2487  1 Sc 2.84, 2 Y 2.90, 3 Pr 2.99-3.04
As 0.5000 0.2660 0.7513  1 Sc 2.84, 2 Y 2.90, 3 Pr 2.99-3.04